1.
GGA-PBE ScCr3Ir, relaxed; space-group type = Pm-3m
1.0
4.205 0.000 0.000
0.000 4.205 0.000
0.000 0.000 4.205
Sc Cr Ir
1 3 1
direct
0.000 0.000 0.000
0.000 0.000 0.500
0.000 0.500 0.000
0.500 0.000 0.000
0.500 0.500 0.500

***

2.
GGA-PBE ErTh4Hg5, relaxed; space-group type = P4/mmm
1.0
3.470 0.000 0.000
0.000 3.470 0.000
0.000 0.000 22.322
Er Th Hg
1 4 5
direct
0.000 0.000 0.000
0.000 0.000 0.193
0.000 0.000 0.397
0.000 0.000 0.603
0.000 0.000 0.807
0.500 0.500 0.090
0.500 0.500 0.296
0.500 0.500 0.500
0.500 0.500 0.704
0.500 0.500 0.910

***

3.
GGA-PBE Ce5PrGa6, relaxed; space-group type = Immm
1.0
-2.336 4.258 7.033
2.336 -4.258 7.033
2.336 4.258 -7.033
Ce Pr Ga
5 1 6
direct
0.000 0.000 0.000
0.168 0.668 0.500
0.325 0.325 0.000
0.675 0.675 0.000
0.832 0.332 0.500
0.500 0.000 0.500
0.084 0.834 0.250
0.249 0.500 0.749
0.416 0.166 0.250
0.584 0.834 0.750
0.751 0.500 0.251
0.916 0.166 0.750

***

Going through the records in order, we get energy relative to the elements values of 1.880 -0.271 -0.485 eV/atom.